A relaxed Li4V2P4H3O16 crystal. Source: Alexandria, functional GGA+U.

* calculated volume: 306.6 Å³ per cell
* energy: -6.6440 eV/atom
* D(E_F): 1.4 states/eV per cell

```
29
Lattice="4.953 0.000 0.000 -1.839 7.392 0.000 -0.148 -0.053 8.375" Properties=species:S:1:pos:R:3 pbc="T T T"
Li 0.000 0.000 0.000
Li 0.155 2.753 2.480
Li 1.081 3.845 6.622
Li 1.745 6.256 4.231
V -0.126 1.362 5.404
V 1.495 5.132 1.220
P -0.841 7.068 2.596
P 0.385 6.818 6.610
P 2.506 3.330 4.192
P 3.676 3.076 8.257
H -1.203 4.923 5.374
H 2.144 1.406 1.669
H 3.130 0.926 0.113
O -0.594 2.685 6.929
O 0.291 -0.007 3.927
O -0.166 3.793 0.858
O 0.904 0.265 6.763
O 1.216 1.128 1.902
O 0.092 5.427 6.039
O 0.501 6.365 2.756
O 1.491 2.603 5.102
O 1.876 3.704 2.857
O 1.022 6.730 8.035
O 3.212 0.166 5.671
O 2.385 3.868 8.057
O 3.481 1.723 0.647
O 2.837 4.701 4.938
O 3.822 2.519 4.025
O 3.186 6.358 1.617
```